(1)
Compound: YCoAs2
Source: Alexandria via LeMat-Bulk
Functional: GGA-PBE
Structure: optimized geometry

Lattice parameters (Å, degrees): 6.6727 6.6727 6.6727 90.00 90.00 90.00
Closest atoms and distances in Å follow each position.
Element x y z (fractional)
Y 0.0000 0.0000 0.0000  8 As 2.89
Y 0.0000 0.5000 0.5000  8 As 2.89
Y 0.5000 0.0000 0.5000  8 As 2.89
Y 0.5000 0.5000 0.0000  8 As 2.89
Co 0.0000 0.0000 0.5000  8 As 2.89
Co 0.0000 0.5000 0.0000  8 As 2.89
Co 0.5000 0.0000 0.0000  8 As 2.89
Co 0.5000 0.5000 0.5000  8 As 2.89
As 0.2500 0.2500 0.2500  4 Co 2.89, 4 Y 2.89
As 0.2500 0.2500 0.7500  4 Co 2.89, 4 Y 2.89
As 0.2500 0.7500 0.2500  4 Co 2.89, 4 Y 2.89
As 0.2500 0.7500 0.7500  4 Co 2.89, 4 Y 2.89
As 0.7500 0.2500 0.2500  4 Co 2.89, 4 Y 2.89
As 0.7500 0.2500 0.7500  4 Co 2.89, 4 Y 2.89
As 0.7500 0.7500 0.2500  4 Co 2.89, 4 Y 2.89
As 0.7500 0.7500 0.7500  4 Co 2.89, 4 Y 2.89

## Properties
As for the theoretical density: 6.655 g cm⁻³. The spin magnetization comes out at 7.87 Bohr magnetons per cell. As for the energy of formation from the pure elements: -28 kJ/mol of atoms.

---

(2)
Compound: YCoAs2
Source: Alexandria via LeMat-Bulk
Functional: GGA-PBE
Structure: optimized geometry

Lattice parameters (Å, degrees): 3.9927 5.7536 6.6167 90.00 90.00 90.00
Closest atoms and distances in Å follow each position.
Element x y z (fractional)
Y 0.0000 0.0000 0.0000  4 As 2.80
Y 0.5000 0.5000 0.0000  4 As 2.80
Co 0.0000 0.0000 0.5000  4 As 2.40
Co 0.5000 0.5000 0.5000  4 As 2.40
As 0.0000 0.5000 0.2973  2 Co 2.40, 1 As 2.68
As 0.0000 0.5000 0.7027  2 Co 2.40, 1 As 2.68
As 0.5000 0.0000 0.2973  2 Co 2.40, 1 As 2.68
As 0.5000 0.0000 0.7027  2 Co 2.40, 1 As 2.68

## Properties
As for the theoretical density: 6.504 g cm⁻³. The spin magnetization comes out at 1.91 Bohr magnetons per cell. As for the energy of formation from the pure elements: -37 kJ/mol of atoms.

---

(3)
Compound: Y2CoAs
Source: Alexandria via LeMat-Bulk
Functional: GGA-PBE
Structure: optimized geometry

Lattice parameters (Å, degrees): 3.2969 3.2969 7.9317 90.00 90.00 90.00
Closest atoms and distances in Å follow each position.
Element x y z (fractional)
Y 0.0000 0.0000 0.0000  1 As 2.92, 4 Co 3.05
Y 0.5000 0.5000 0.3768  1 Co 2.98, 4 As 3.08, 4 Y 3.30
Co 0.5000 0.5000 0.7530  4 As 2.52
As 0.0000 0.0000 0.6315  4 Co 2.52

## Properties
As for the theoretical density: 6.003 g cm⁻³. The spin magnetization comes out at 0.00 Bohr magnetons per cell. As for the energy of formation from the pure elements: -23 kJ/mol of atoms.